## Ti8V2Fe (GGA-PBE)

Data for crystalline Ti8V2Fe at its relaxed geometry.

Output
The energy of formation comes out at 0.02 eV per atom.

Structure (CIF):
```
data_Ti8V2Fe
_chemical_formula_sum 'Ti16 V4 Fe2'
_cell_length_a 14.230
_cell_length_b 4.307
_cell_length_c 5.958
_cell_angle_alpha 90.00
_cell_angle_beta 106.68
_cell_angle_gamma 90.00
_space_group_name_H-M_alt 'C 1 2/m 1'
_space_group_IT_number 12
loop_
_space_group_symop_operation_xyz
'x,y,z'
'-x,-y,-z'
'-x,y,-z'
'x,-y,z'
'x+1/2,y+1/2,z'
'-x+1/2,-y+1/2,-z'
'-x+1/2,y+1/2,-z'
'x+1/2,-y+1/2,z'
loop_
_atom_site_label
_atom_site_type_symbol
_atom_site_fract_x
_atom_site_fract_y
_atom_site_fract_z
Ti1 Ti 0.021 0.000 0.265
Ti2 Ti 0.105 0.500 0.938
Ti3 Ti 0.157 0.500 0.423
Ti4 Ti 0.179 0.000 0.728
V1 V 0.198 0.000 0.173
Fe1 Fe 0.000 0.500 0.500
```

## Sm3Dy6YHo2 (GGA-PBE)

Data for crystalline Sm3Dy6YHo2 at its relaxed geometry.

Output
The energy of formation comes out at 0.02 eV per atom.

Structure (CIF):
```
data_Sm3Dy6YHo2
_chemical_formula_sum 'Sm6 Dy12 Y2 Ho4'
_cell_length_a 6.176
_cell_length_b 10.689
_cell_length_c 11.804
_cell_angle_alpha 90.00
_cell_angle_beta 99.99
_cell_angle_gamma 90.00
_space_group_name_H-M_alt 'C 1 2/m 1'
_space_group_IT_number 12
loop_
_space_group_symop_operation_xyz
'x,y,z'
'-x,-y,-z'
'-x,y,-z'
'x,-y,z'
'x+1/2,y+1/2,z'
'-x+1/2,-y+1/2,-z'
'-x+1/2,y+1/2,-z'
'x+1/2,-y+1/2,z'
loop_
_atom_site_label
_atom_site_type_symbol
_atom_site_fract_x
_atom_site_fract_y
_atom_site_fract_z
Sm1 Sm 0.000 0.000 0.000
Sm2 Sm 0.000 0.333 0.000
Dy1 Dy 0.249 0.000 0.748
Dy2 Dy 0.250 0.167 0.252
Y1 Y 0.000 0.500 0.500
Ho1 Ho 0.000 0.167 0.500
```

## NpCuAgS3 (GGA-PBE)

Data for crystalline NpCuAgS3 at its relaxed geometry.

Output
The value obtained for the uncorrected formation energy is -684 meV per atom.

Structure (CIF):
```
data_NpCuAgS3
_chemical_formula_sum 'Np4 Cu4 Ag4 S12'
_cell_length_a 3.912
_cell_length_b 12.270
_cell_length_c 10.211
_cell_angle_alpha 90.00
_cell_angle_beta 90.00
_cell_angle_gamma 90.00
_space_group_name_H-M_alt 'C m c m'
_space_group_IT_number 63
_space_group_name_Hall '-C 2c 2'
loop_
_atom_site_label
_atom_site_type_symbol
_atom_site_fract_x
_atom_site_fract_y
_atom_site_fract_z
Np1 Np 0.000 0.000 0.000
Cu1 Cu 0.000 0.478 0.250
Ag1 Ag 0.000 0.204 0.750
S1 S 0.000 0.085 0.250
S2 S 0.000 0.363 0.070
```

Uncorrected energy (eV/atom)
-8.148, -4.765, -6.063